Entry 1:
Entry from Alexandria: a relaxed structure of HgSN2O (PBE).

Output
Symmetry: P4/mmm
Raw formation energy in eV/atom: 2.551

Cell lengths 4.366, 4.366, 5.318 Å; angles 90.00, 90.00, 90.00 degrees
Atoms (fractional coordinates):
Hg  0.000  0.000  0.000
S  0.000  0.000  0.500
N  0.000  0.500  0.000
N  0.500  0.000  0.000
O  0.500  0.500  0.500


Entry 2:
Entry from Alexandria: a relaxed structure of VNiMo2Pt (PBE).

Output
Symmetry: P4/mmm
Calculated formation energy in meV per atom: 1109

Cell lengths 4.422, 4.422, 4.295 Å; angles 90.00, 90.00, 90.00 degrees
Atoms (fractional coordinates):
V  0.000  0.000  0.000
Ni  0.000  0.000  0.500
Mo  0.000  0.500  0.000
Mo  0.500  0.000  0.000
Pt  0.500  0.500  0.500


Entry 3:
Entry from Alexandria: a relaxed structure of TaInAu2S (PBE).

Output
Symmetry: P4/mmm
Raw formation energy in eV/atom: 1.109

Cell lengths 5.054, 5.054, 5.654 Å; angles 90.00, 90.00, 90.00 degrees
Atoms (fractional coordinates):
Ta  0.000  0.000  0.000
In  0.000  0.000  0.500
Au  0.000  0.500  0.000
Au  0.500  0.000  0.000
S  0.500  0.500  0.500


Entry 4:
Entry from Alexandria: a relaxed structure of Rb2Sm2BiO6 (PBE).

Output
Symmetry: C2/m
Raw formation energy in eV/atom: -2.182

Cell lengths 6.167, 6.167, 7.015 Å; angles 98.04, 98.04, 119.90 degrees
Atoms (fractional coordinates):
Rb  0.165  0.835  0.000
Rb  0.835  0.165  0.000
Sm  0.335  0.665  0.500
Sm  0.665  0.335  0.500
Bi  0.000  0.000  0.500
O  0.049  0.382  0.671
O  0.265  0.265  0.328
O  0.382  0.049  0.671
O  0.618  0.951  0.329
O  0.735  0.735  0.672
O  0.951  0.618  0.329


Entry 5:
Entry from Alexandria: a relaxed structure of Al2AgIr (PBE).

Output
Symmetry: R3m
Calculated formation energy in meV per atom: -327

Cell lengths 4.089, 4.089, 14.261 Å; angles 90.00, 90.00, 120.00 degrees
Atoms (fractional coordinates):
Al  0.000  0.000  0.000
Al  0.000  0.000  0.211
Al  0.333  0.667  0.667
Al  0.333  0.667  0.878
Al  0.667  0.333  0.333
Al  0.667  0.333  0.544
Ag  0.000  0.000  0.428
Ag  0.333  0.667  0.095
Ag  0.667  0.333  0.761
Ir  0.000  0.000  0.623
Ir  0.333  0.667  0.290
Ir  0.667  0.333  0.957


Entry 6:
Entry from Alexandria: a relaxed structure of BeMo2As2 (PBE).

Output
Symmetry: I4/mmm
Calculated formation energy in meV per atom: 451
Polymorph energy (0 for the lowest one) in meV per atom: 181

Cell lengths 4.359, 4.359, 9.439 Å; angles 90.00, 90.00, 90.00 degrees
Atoms (fractional coordinates):
Be  0.000  0.000  0.000
Be  0.500  0.500  0.500
Mo  0.000  0.500  0.250
Mo  0.000  0.500  0.750
Mo  0.500  0.000  0.250
Mo  0.500  0.000  0.750
As  0.000  0.000  0.375
As  0.000  0.000  0.625
As  0.500  0.500  0.125
As  0.500  0.500  0.875


Entry 7:
Entry from Alexandria: a relaxed structure of Pm4Ge2Pt5 (PBE).

Output
Symmetry: P2/m
Calculated formation energy in meV per atom: -1038

Cell lengths 6.840, 4.168, 8.400 Å; angles 90.00, 94.22, 90.00 degrees
Atoms (fractional coordinates):
Pm  0.229  0.000  0.386
Pm  0.256  0.000  0.898
Pm  0.744  0.000  0.102
Pm  0.771  0.000  0.614
Ge  0.087  0.500  0.137
Ge  0.913  0.500  0.863
Pt  0.151  0.500  0.641
Pt  0.456  0.500  0.173
Pt  0.500  0.500  0.500
Pt  0.544  0.500  0.827
Pt  0.849  0.500  0.359


Entry 8:
Entry from Alexandria: a relaxed structure of Ti3GaBi (PBE).

Output
Symmetry: C2/c
Calculated formation energy in meV per atom: -176
Polymorph energy (0 for the lowest one) in meV per atom: 0

Cell lengths 8.454, 8.454, 5.408 Å; angles 98.45, 98.45, 87.61 degrees
Atoms (fractional coordinates):
Ti  0.100  0.687  0.964
Ti  0.139  0.498  0.397
Ti  0.248  0.368  0.912
Ti  0.313  0.900  0.536
Ti  0.368  0.248  0.412
Ti  0.498  0.139  0.897
Ti  0.502  0.861  0.103
Ti  0.632  0.752  0.588
Ti  0.687  0.100  0.464
Ti  0.752  0.632  0.088
Ti  0.861  0.502  0.603
Ti  0.900  0.313  0.036
Ga  0.380  0.620  0.750
Ga  0.391  0.609  0.250
Ga  0.609  0.391  0.750
Ga  0.620  0.380  0.250
Bi  0.024  0.203  0.528
Bi  0.203  0.024  0.028
Bi  0.797  0.976  0.972
Bi  0.976  0.797  0.472


Entry 9:
Entry from Alexandria: a relaxed structure of Pm7Sm12Dy (PBE).

Output
Symmetry: R-3
Calculated formation energy in meV per atom: 289
Polymorph energy (0 for the lowest one) in meV per atom: 62

Cell lengths 11.080, 11.080, 11.080 Å; angles 115.82, 115.82, 115.82 degrees
Atoms (fractional coordinates):
Pm  0.000  0.000  0.000
Pm  0.119  0.425  0.281
Pm  0.281  0.119  0.425
Pm  0.425  0.281  0.119
Pm  0.575  0.719  0.881
Pm  0.719  0.881  0.575
Pm  0.881  0.575  0.719
Sm  0.002  0.217  0.432
Sm  0.217  0.432  0.002
Sm  0.230  0.753  0.295
Sm  0.247  0.705  0.770
Sm  0.295  0.230  0.753
Sm  0.432  0.002  0.217
Sm  0.568  0.998  0.783
Sm  0.705  0.770  0.247
Sm  0.753  0.295  0.230
Sm  0.770  0.247  0.705
Sm  0.783  0.568  0.998
Sm  0.998  0.783  0.568
Dy  0.500  0.500  0.500


Entry 10:
Entry from Alexandria: a relaxed structure of In2Tc2Sb (PBE).

Output
Symmetry: I4/mmm
Raw formation energy in eV/atom: 0.560
Polymorph energy (0 for the lowest one) in meV per atom: 332

Cell lengths 3.990, 3.990, 12.979 Å; angles 90.00, 90.00, 90.00 degrees
Atoms (fractional coordinates):
In  0.000  0.500  0.250
In  0.000  0.500  0.750
In  0.500  0.000  0.250
In  0.500  0.000  0.750
Tc  0.000  0.000  0.091
Tc  0.000  0.000  0.909
Tc  0.500  0.500  0.409
Tc  0.500  0.500  0.591
Sb  0.000  0.000  0.500
Sb  0.500  0.500  0.000


Entry 11:
Entry from Alexandria: a relaxed structure of BeRe2Au (PBE).

Output
Symmetry: P4/mmm
Calculated formation energy in meV per atom: 290

Cell lengths 2.844, 2.844, 6.839 Å; angles 90.00, 90.00, 90.00 degrees
Atoms (fractional coordinates):
Be  0.000  0.000  0.000
Re  0.500  0.500  0.193
Re  0.500  0.500  0.807
Au  0.000  0.000  0.500


Entry 12:
Entry from Alexandria: a relaxed structure of HoNiAgPd (PBE).

Output
Symmetry: F-43m
Calculated formation energy in meV per atom: -374

Cell lengths 6.559, 6.559, 6.559 Å; angles 90.00, 90.00, 90.00 degrees
Atoms (fractional coordinates):
Ho  0.000  0.000  0.000
Ho  0.000  0.500  0.500
Ho  0.500  0.000  0.500
Ho  0.500  0.500  0.000
Ni  0.250  0.250  0.250
Ni  0.250  0.750  0.750
Ni  0.750  0.250  0.750
Ni  0.750  0.750  0.250
Ag  0.000  0.000  0.500
Ag  0.000  0.500  0.000
Ag  0.500  0.000  0.000
Ag  0.500  0.500  0.500
Pd  0.250  0.250  0.750
Pd  0.250  0.750  0.250
Pd  0.750  0.250  0.250
Pd  0.750  0.750  0.750


Entry 13:
Entry from Alexandria: a relaxed structure of NdSm2Er8 (PBE).

Output
Symmetry: C2/m
Calculated formation energy in meV per atom: 23
Polymorph energy (0 for the lowest one) in meV per atom: 0

Cell lengths 9.375, 9.375, 7.924 Å; angles 104.67, 104.67, 31.02 degrees
Atoms (fractional coordinates):
Nd  0.000  0.000  0.000
Sm  0.272  0.272  0.363
Sm  0.728  0.728  0.637
Er  0.090  0.090  0.456
Er  0.182  0.182  0.908
Er  0.363  0.363  0.819
Er  0.455  0.455  0.274
Er  0.545  0.545  0.726
Er  0.637  0.637  0.181
Er  0.818  0.818  0.092
Er  0.910  0.910  0.544


Entry 14:
Entry from Alexandria: a relaxed structure of Cu4MoIr (PBE).

Output
Symmetry: F-43m
Calculated formation energy in meV per atom: 126

Cell lengths 4.760, 4.760, 4.760 Å; angles 60.00, 60.00, 60.00 degrees
Atoms (fractional coordinates):
Cu  0.125  0.125  0.125
Cu  0.125  0.125  0.625
Cu  0.125  0.625  0.125
Cu  0.625  0.125  0.125
Mo  0.500  0.500  0.500
Ir  0.750  0.750  0.750


Entry 15:
Entry from Alexandria: a relaxed structure of Ba2NiBiN (PBE).

Output
Symmetry: P4/mmm
Raw formation energy in eV/atom: -0.554

Cell lengths 6.168, 6.168, 3.588 Å; angles 90.00, 90.00, 90.00 degrees
Atoms (fractional coordinates):
Ba  0.000  0.500  0.000
Ba  0.500  0.000  0.000
Ni  0.000  0.000  0.500
Bi  0.500  0.500  0.500
N  0.000  0.000  0.000


Entry 16:
Entry from Alexandria: a relaxed structure of Sc2PaRuC (PBE).

Output
Symmetry: P4mm
Calculated formation energy in meV per atom: -362

Cell lengths 4.284, 4.284, 5.033 Å; angles 90.00, 90.00, 90.00 degrees
Atoms (fractional coordinates):
Sc  0.000  0.500  0.000
Sc  0.500  0.000  0.000
Pa  0.000  0.000  0.503
Ru  0.500  0.500  0.518
C  0.000  0.000  0.025


Entry 17:
Entry from Alexandria: a relaxed structure of Tl2FeRh (PBE).

Output
Symmetry: I-4m2
Calculated formation energy in meV per atom: 450
Polymorph energy (0 for the lowest one) in meV per atom: 186

Cell lengths 4.010, 4.010, 9.289 Å; angles 90.00, 90.00, 90.00 degrees
Atoms (fractional coordinates):
Tl  0.000  0.000  0.000
Tl  0.000  0.500  0.250
Tl  0.500  0.000  0.750
Tl  0.500  0.500  0.500
Fe  0.000  0.500  0.750
Fe  0.500  0.000  0.250
Rh  0.000  0.000  0.500
Rh  0.500  0.500  0.000


Entry 18:
Entry from Alexandria: a relaxed structure of Be12Si3Tc5 (PBE).

Output
Symmetry: Ia-3d
Raw formation energy in eV/atom: 0.934

Cell lengths 11.142, 11.142, 11.142 Å; angles 109.47, 109.47, 109.47 degrees
Atoms (fractional coordinates):
Be  0.073  0.651  0.420
Be  0.073  0.922  0.653
Be  0.078  0.231  0.151
Be  0.078  0.347  0.927
Be  0.080  0.731  0.653
Be  0.080  0.849  0.427
Be  0.151  0.078  0.231
Be  0.151  0.573  0.920
Be  0.153  0.231  0.580
Be  0.153  0.422  0.573
Be  0.231  0.151  0.078
Be  0.231  0.580  0.153
Be  0.269  0.347  0.920
Be  0.269  0.422  0.349
Be  0.347  0.920  0.269
Be  0.347  0.927  0.078
Be  0.349  0.269  0.422
Be  0.349  0.580  0.927
Be  0.420  0.073  0.651
Be  0.420  0.847  0.769
Be  0.422  0.349  0.269
Be  0.422  0.573  0.153
Be  0.427  0.080  0.849
Be  0.427  0.847  0.578
Be  0.573  0.153  0.422
Be  0.573  0.920  0.151
Be  0.578  0.427  0.847
Be  0.578  0.651  0.731
Be  0.580  0.153  0.231
Be  0.580  0.927  0.349
Be  0.651  0.420  0.073
Be  0.651  0.731  0.578
Be  0.653  0.073  0.922
Be  0.653  0.080  0.731
Be  0.731  0.578  0.651
Be  0.731  0.653  0.080
Be  0.769  0.420  0.847
Be  0.769  0.849  0.922
Be  0.847  0.578  0.427
Be  0.847  0.769  0.420
Be  0.849  0.427  0.080
Be  0.849  0.922  0.769
Be  0.920  0.151  0.573
Be  0.920  0.269  0.347
Be  0.922  0.653  0.073
Be  0.922  0.769  0.849
Be  0.927  0.078  0.347
Be  0.927  0.349  0.580
Si  0.125  0.250  0.375
Si  0.125  0.375  0.750
Si  0.250  0.375  0.125
Si  0.250  0.875  0.625
Si  0.375  0.125  0.250
Si  0.375  0.750  0.125
Si  0.625  0.250  0.875
Si  0.625  0.875  0.750
Si  0.750  0.125  0.375
Si  0.750  0.625  0.875
Si  0.875  0.625  0.250
Si  0.875  0.750  0.625
Tc  0.000  0.000  0.000
Tc  0.000  0.000  0.500
Tc  0.000  0.500  0.000
Tc  0.000  0.500  0.500
Tc  0.125  0.750  0.875
Tc  0.125  0.875  0.250
Tc  0.250  0.125  0.875
Tc  0.250  0.625  0.375
Tc  0.375  0.250  0.625
Tc  0.375  0.625  0.750
Tc  0.500  0.000  0.000
Tc  0.500  0.000  0.500
Tc  0.500  0.500  0.000
Tc  0.500  0.500  0.500
Tc  0.625  0.375  0.250
Tc  0.625  0.750  0.375
Tc  0.750  0.375  0.625
Tc  0.750  0.875  0.125
Tc  0.875  0.125  0.750
Tc  0.875  0.250  0.125


Entry 19:
Entry from Alexandria: a relaxed structure of Sc3NbAg (PBE).

Output
Symmetry: Pm-3m
Calculated formation energy in meV per atom: 812
Polymorph energy (0 for the lowest one) in meV per atom: 172

Cell lengths 5.085, 5.085, 5.085 Å; angles 90.00, 90.00, 90.00 degrees
Atoms (fractional coordinates):
Sc  0.000  0.000  0.500
Sc  0.000  0.500  0.000
Sc  0.500  0.000  0.000
Nb  0.500  0.500  0.500
Ag  0.000  0.000  0.000


Entry 20:
Entry from Alexandria: a relaxed structure of La6Ge2RhCl3 (PBE).

Output
Symmetry: C2/m
Raw formation energy in eV/atom: -1.288

Cell lengths 9.534, 9.534, 8.716 Å; angles 101.36, 101.36, 26.18 degrees
Atoms (fractional coordinates):
La  0.000  0.000  0.234
La  0.000  0.000  0.766
La  0.330  0.330  0.421
La  0.346  0.346  0.907
La  0.654  0.654  0.093
La  0.670  0.670  0.579
Ge  0.163  0.163  0.338
Ge  0.837  0.837  0.662
Rh  0.500  0.500  0.000
Cl  0.175  0.175  0.842
Cl  0.500  0.500  0.500
Cl  0.825  0.825  0.158


Entry 21:
Entry from Alexandria: a relaxed structure of Cs2BeO2 (PBE).

Output
Symmetry: C2/m
Raw formation energy in eV/atom: -1.781
Polymorph energy (0 for the lowest one) in meV per atom: 0

Cell lengths 6.962, 6.962, 8.703 Å; angles 127.93, 127.93, 51.68 degrees
Atoms (fractional coordinates):
Cs  0.127  0.127  0.310
Cs  0.286  0.286  0.888
Cs  0.714  0.714  0.112
Cs  0.873  0.873  0.690
Be  0.471  0.471  0.585
Be  0.529  0.529  0.415
O  0.370  0.370  0.333
O  0.423  0.423  0.705
O  0.577  0.577  0.295
O  0.630  0.630  0.667